# 1
KRb2F | PBE-GGA | optimized geometry

Total DFT energy (no corrections)   -9.43 eV per cell
Energy above the most stable polymorph in this dataset   145 meV per atom
Energy relative to the elements, uncorrected   -4.528 eV/f.u.
Fermi-level density of states   2.2 states/eV per cell
Density   2.13 Mg/m³

Unit cell a=3.8994 b=3.8994 c=11.7277 alpha=90.00 beta=90.00 gamma=90.00
Last column: nearest neighbours and their distance in Å.
Space group P4/mmm (No. 123)
Unique sites:
K 0.0000 0.0000 0.0000 x1  4 K 3.90
Rb 0.5000 0.5000 0.3538 x2  4 F 3.25, 1 Rb 3.43
F 0.0000 0.0000 0.5000 x1  8 Rb 3.25

# 2
Tm2MgHg4 | PBE-GGA | optimized geometry

Total DFT energy (no corrections)   -41.61 eV per cell
Energy above the most stable polymorph in this dataset   0 meV per atom
Formation energy from the elements   -0.303 eV/atom
Fermi-level density of states   10.2 states/eV per cell
Density   10.99 Mg/m³

Unit cell a=4.9480 b=4.9480 c=24.8884 alpha=90.00 beta=90.00 gamma=120.00
Last column: nearest neighbours and their distance in Å.
Space group R-3m (No. 166, hexagonal axes)
Unique sites:
Tm 0.0000 0.0000 0.2501 x6  8 Hg 3.03-3.14
Mg 0.0000 0.0000 0.0000 x3  8 Hg 3.05-3.18
Hg 0.0000 0.0000 0.1280 x6  4 Tm 3.04-3.07, 1 Mg 3.18
Hg 0.0000 0.0000 0.3761 x6  4 Tm 3.03-3.14, 3 Mg 3.05

Number 1: magnetization 0.00 μB/f.u.. Number 2: magnetization 0.00 μB/f.u..